Entry 1:
# NiPt8Rh2 | Alexandria via LeMat-Bulk | PBE | optimized geometry
data_NiPt8Rh2
_symmetry_space_group_name_H-M 'P 1'
_symmetry_Int_Tables_number 1
_symmetry_space_group_name_Hall 'P 1'
_cell_length_a 7.329
_cell_length_b 7.329
_cell_length_c 6.207
_cell_angle_alpha 104.84
_cell_angle_beta 104.84
_cell_angle_gamma 31.07
loop_
_atom_site_label
_atom_site_fract_x
_atom_site_fract_y
_atom_site_fract_z
Ni1 0.000 0.000 0.000
Pt1 0.092 0.092 0.448
Pt2 0.180 0.180 0.912
Pt3 0.364 0.364 0.818
Pt4 0.455 0.455 0.268
Pt5 0.545 0.545 0.732
Pt6 0.636 0.636 0.182
Pt7 0.820 0.820 0.088
Pt8 0.908 0.908 0.552
Rh1 0.275 0.275 0.367
Rh2 0.725 0.725 0.633
# Energy relative to the elements, eV per atom: -0.035
# Energy relative to the lowest polymorph listed for this composition, kJ/mol of atoms: 0.0
# Magnetization, μB/cell: 2.80


Entry 2:
# Ni7Pt4Rh | Alexandria via LeMat-Bulk | PBE | optimized geometry
data_Ni7Pt4Rh
_symmetry_space_group_name_H-M 'P 1'
_symmetry_Int_Tables_number 1
_symmetry_space_group_name_Hall 'P 1'
_cell_length_a 5.047
_cell_length_b 5.047
_cell_length_c 8.937
_cell_angle_alpha 111.22
_cell_angle_beta 111.22
_cell_angle_gamma 52.44
loop_
_atom_site_label
_atom_site_fract_x
_atom_site_fract_y
_atom_site_fract_z
Ni1 0.000 0.000 0.000
Ni2 0.150 0.150 0.616
Ni3 0.212 0.212 0.914
Ni4 0.373 0.373 0.527
Ni5 0.627 0.627 0.473
Ni6 0.788 0.788 0.086
Ni7 0.850 0.850 0.384
Pt1 0.092 0.092 0.304
Pt2 0.362 0.362 0.229
Pt3 0.638 0.638 0.771
Pt4 0.908 0.908 0.696
Rh1 0.500 0.500 0.000
# Energy relative to the elements, eV per atom: 0.231
# Magnetization, μB/cell: 6.73


Entry 3:
# Ni3PtRh2 | Alexandria via LeMat-Bulk | PBE | optimized geometry
data_Ni3PtRh2
_symmetry_space_group_name_H-M 'P 1'
_symmetry_Int_Tables_number 1
_symmetry_space_group_name_Hall 'P 1'
_cell_length_a 6.926
_cell_length_b 6.926
_cell_length_c 4.906
_cell_angle_alpha 90.00
_cell_angle_beta 90.00
_cell_angle_gamma 135.94
loop_
_atom_site_label
_atom_site_fract_x
_atom_site_fract_y
_atom_site_fract_z
Ni1 0.081 0.432 0.750
Ni2 0.156 0.844 0.750
Ni3 0.432 0.081 0.250
Ni4 0.568 0.919 0.750
Ni5 0.844 0.156 0.250
Ni6 0.919 0.568 0.250
Pt1 0.340 0.660 0.250
Pt2 0.660 0.340 0.750
Rh1 0.244 0.244 0.000
Rh2 0.244 0.244 0.500
Rh3 0.756 0.756 0.000
Rh4 0.756 0.756 0.500
# Energy relative to the elements, eV per atom: 0.223
# Energy relative to the lowest polymorph listed for this composition, kJ/mol of atoms: 13.1
# Magnetization, μB/cell: 5.62


Entry 4:
# Ni2Pt3Rh7 | Alexandria via LeMat-Bulk | PBE | optimized geometry
data_Ni2Pt3Rh7
_symmetry_space_group_name_H-M 'P 1'
_symmetry_Int_Tables_number 1
_symmetry_space_group_name_Hall 'P 1'
_cell_length_a 4.851
_cell_length_b 2.703
_cell_length_c 13.250
_cell_angle_alpha 90.00
_cell_angle_beta 97.02
_cell_angle_gamma 90.00
loop_
_atom_site_label
_atom_site_fract_x
_atom_site_fract_y
_atom_site_fract_z
Ni1 0.046 0.000 0.172
Ni2 0.954 0.000 0.828
Pt1 0.452 0.500 0.839
Pt2 0.500 0.000 0.500
Pt3 0.548 0.500 0.161
Rh1 0.000 0.500 0.500
Rh2 0.222 0.000 0.669
Rh3 0.248 0.000 0.004
Rh4 0.272 0.500 0.330
Rh5 0.728 0.500 0.670
Rh6 0.752 0.000 0.996
Rh7 0.778 0.000 0.331
# Energy relative to the elements, eV per atom: 0.099
# Magnetization, μB/cell: 2.18


Entry 5:
# Ni4PtRh | Alexandria via LeMat-Bulk | PBE | optimized geometry
data_Ni4PtRh
_symmetry_space_group_name_H-M 'P 1'
_symmetry_Int_Tables_number 1
_symmetry_space_group_name_Hall 'P 1'
_cell_length_a 4.342
_cell_length_b 4.342
_cell_length_c 5.010
_cell_angle_alpha 104.89
_cell_angle_beta 104.89
_cell_angle_gamma 110.65
loop_
_atom_site_label
_atom_site_fract_x
_atom_site_fract_y
_atom_site_fract_z
Ni1 0.058 0.440 0.253
Ni2 0.440 0.058 0.253
Ni3 0.560 0.942 0.747
Ni4 0.942 0.560 0.747
Pt1 0.500 0.500 0.000
Rh1 0.000 0.000 0.500
# Energy relative to the elements, eV per atom: 0.170
# Energy relative to the lowest polymorph listed for this composition, kJ/mol of atoms: 16.0
# Magnetization, μB/cell: 4.08


Entry 6:
# NiPt4Rh2 | Alexandria via LeMat-Bulk | PBE | optimized geometry
data_NiPt4Rh2
_symmetry_space_group_name_H-M 'P 1'
_symmetry_Int_Tables_number 1
_symmetry_space_group_name_Hall 'P 1'
_cell_length_a 5.388
_cell_length_b 5.388
_cell_length_c 9.219
_cell_angle_alpha 98.47
_cell_angle_beta 98.47
_cell_angle_gamma 119.33
loop_
_atom_site_label
_atom_site_fract_x
_atom_site_fract_y
_atom_site_fract_z
Ni1 0.041 0.959 0.750
Ni2 0.959 0.041 0.250
Pt1 0.009 0.253 0.007
Pt2 0.046 0.458 0.749
Pt3 0.253 0.009 0.507
Pt4 0.458 0.046 0.249
Pt5 0.542 0.954 0.751
Pt6 0.747 0.991 0.493
Pt7 0.954 0.542 0.251
Pt8 0.991 0.747 0.993
Rh1 0.254 0.498 0.498
Rh2 0.498 0.254 0.998
Rh3 0.502 0.746 0.002
Rh4 0.746 0.502 0.502
# Energy relative to the elements, eV per atom: 0.142
# Magnetization, μB/cell: 2.10